# GGA-PBE B3ClO, optimized geometry
data_B3ClO
_chemical_formula_sum 'B3 Cl1 O1'
_space_group_name_H-M_alt 'P m -3 m'
_space_group_IT_number 221
_space_group_name_Hall '-P 4 2 3'
_cell_length_a 3.8288
_cell_length_b 3.8288
_cell_length_c 3.8288
_cell_angle_alpha 90.00
_cell_angle_beta 90.00
_cell_angle_gamma 90.00
loop_
_atom_site_label
_atom_site_fract_x
_atom_site_fract_y
_atom_site_fract_z
B1 0.0000 0.0000 0.5000
Cl1 0.0000 0.0000 0.0000
O1 0.5000 0.5000 0.5000
# **Formation energy from raw total energies**: 2.74 eV/atom
# **Energy above the lowest structure with this stoichiometry**: 0.622 eV per atom
# **Magnetization**: 0.000 μB/f.u.
# **Calculated volume**: 11.225 Å³/atom